[1]
! Li2Tl3 SCAN single point on PBEsol structure; values from VASP
! * total DFT energy (no corrections): -44.57 eV/atom
! * SG: P-3m1, No. 164
! * calculated volume: 112.10 Å³ per cell
! * total moment: 0.0 μB per formula unit
! * DFT formation energy: -0.202 eV/atom
! * crystal system: trigonal
&SYSTEM
  ibrav = 0, nat = 5, ntyp = 2
/
ATOMIC_SPECIES
Li 6.94 Li.upf
Tl 204.38 Tl.upf
ATOMIC_POSITIONS crystal
Li 0.3333 0.6667 0.8576
Tl 0.6667 0.3333 0.6420
Tl 0.3333 0.6667 0.3580
Tl 0.0000 0.0000 0.0000
Li 0.6667 0.3333 0.1424
CELL_PARAMETERS angstrom
4.7563 0.0000 0.0000
-2.3781 4.1191 0.0000
0.0000 0.0000 5.7217

***

[2]
! Ho6WO12 SCAN single point on PBEsol structure; values from VASP
! * total DFT energy (no corrections): -26.75 eV/atom
! * SG: R-3, No. 148
! * calculated volume: 248.09 Å³ per cell
! * formation energy without anion corrections: -3675 meV/atom
! * total moment: 0.0 μB per formula unit
! * crystal system: trigonal
&SYSTEM
  ibrav = 0, nat = 19, ntyp = 3
/
ATOMIC_SPECIES
O 16.00 O.upf
Ho 164.93 Ho.upf
W 183.84 W.upf
ATOMIC_POSITIONS crystal
O 0.4326 0.1774 0.5897
O 0.1774 0.5897 0.4326
O 0.7017 0.0341 0.9239
O 0.2983 0.9659 0.0761
O 0.0341 0.9239 0.7017
Ho 0.1439 0.3157 0.6126
O 0.9239 0.7017 0.0341
Ho 0.3874 0.8561 0.6843
Ho 0.6843 0.3874 0.8561
O 0.9659 0.0761 0.2983
Ho 0.3157 0.6126 0.1439
O 0.5897 0.4326 0.1774
W 0.0000 0.0000 0.0000
O 0.4103 0.5674 0.8226
Ho 0.6126 0.1439 0.3157
O 0.0761 0.2983 0.9659
O 0.5674 0.8226 0.4103
Ho 0.8561 0.6843 0.3874
O 0.8226 0.4103 0.5674
CELL_PARAMETERS angstrom
6.3654 0.0035 0.0042
-0.9616 6.2924 0.0042
-0.9616 -1.1203 6.1919

***

[3]
! MgSc SCAN single point on PBEsol structure; values from VASP
! * total DFT energy (no corrections): -9.58 eV/atom
! * SG: Pbcm, No. 57
! * calculated volume: 550.50 Å³ per cell
! * total moment: 0.1 μB per formula unit
! * DFT formation energy: 0.023 eV/atom
! * crystal system: orthorhombic
&SYSTEM
  ibrav = 0, nat = 24, ntyp = 2
/
ATOMIC_SPECIES
Mg 24.30 Mg.upf
Sc 44.96 Sc.upf
ATOMIC_POSITIONS crystal
Mg 0.2500 0.0750 0.1241
Mg 0.5000 0.7500 0.1249
Sc 0.7500 0.5756 0.3832
Mg 0.0000 0.7500 0.1249
Mg 0.7500 0.9250 0.8759
Sc 0.5000 0.2500 0.3771
Sc 0.2500 0.9060 0.8716
Mg 0.5000 0.2500 0.8751
Mg 0.2500 0.5750 0.8759
Mg 0.0000 0.2500 0.8751
Sc 0.2500 0.4244 0.6168
Sc 0.0000 0.7500 0.6229
Sc 0.2500 0.9244 0.3832
Mg 0.7500 0.4250 0.1241
Sc 0.0000 0.2500 0.3771
Mg 0.7500 0.9118 0.3704
Sc 0.7500 0.0756 0.6168
Sc 0.7500 0.5940 0.8716
Mg 0.2500 0.5882 0.3704
Sc 0.7500 0.0940 0.1284
Sc 0.5000 0.7500 0.6229
Sc 0.2500 0.4060 0.1284
Mg 0.2500 0.0882 0.6296
Mg 0.7500 0.4118 0.6296
CELL_PARAMETERS angstrom
6.1518 0.0000 0.0000
0.0000 8.7922 0.0000
0.0000 0.0000 10.1779

***

[4]
! NbCrNO2 SCAN single point on PBEsol structure; values from VASP
! * total DFT energy (no corrections): -15.68 eV/atom
! * SG: P4/mmm, No. 123
! * calculated volume: 49.18 Å³ per cell
! * formation energy without anion corrections: -1026 meV/atom
! * total moment: 3.8 μB per formula unit
! * crystal system: tetragonal
&SYSTEM
  ibrav = 0, nat = 5, ntyp = 4
/
ATOMIC_SPECIES
O 16.00 O.upf
Cr 52.00 Cr.upf
N 14.01 N.upf
Nb 92.91 Nb.upf
ATOMIC_POSITIONS crystal
O 0.0000 0.5000 0.0000
Cr 0.0000 0.0000 0.0000
N 0.0000 0.0000 0.5000
Nb 0.5000 0.5000 0.5000
O 0.5000 0.0000 0.0000
CELL_PARAMETERS angstrom
-2.4473 -0.0288 2.6460
0.4381 -3.5588 0.3665
2.7410 0.5992 2.5417

***

[5]
! CrAsRu SCAN single point on PBEsol structure; values from VASP
! * total DFT energy (no corrections): -24.79 eV/atom
! * SG: Pnma, No. 62
! * calculated volume: 167.42 Å³ per cell
! * total moment: 2.9 μB per formula unit
! * DFT formation energy: -0.322 eV/atom
! * crystal system: orthorhombic
&SYSTEM
  ibrav = 0, nat = 12, ntyp = 3
/
ATOMIC_SPECIES
Cr 52.00 Cr.upf
As 74.92 As.upf
Ru 101.07 Ru.upf
ATOMIC_POSITIONS crystal
Cr 0.2500 0.4656 0.1920
As 0.7500 0.2475 0.3828
As 0.7500 0.7475 0.1172
Ru 0.7500 0.1580 0.0605
As 0.2500 0.7525 0.6172
Cr 0.7500 0.0344 0.6920
As 0.2500 0.2525 0.8828
Cr 0.2500 0.9656 0.3080
Ru 0.2500 0.8420 0.9395
Cr 0.7500 0.5344 0.8080
Ru 0.7500 0.6580 0.4395
Ru 0.2500 0.3420 0.5605
CELL_PARAMETERS angstrom
3.9241 0.0000 0.0000
0.0000 5.8997 0.0000
0.0000 0.0000 7.2316

***

[6]
! La3BN2O3 SCAN single point on PBEsol structure; values from VASP
! * total DFT energy (no corrections): -22.13 eV/atom
! * SG: Pnma, No. 62
! * calculated volume: 505.07 Å³ per cell
! * formation energy without anion corrections: -2799 meV/atom
! * total moment: 0.0 μB per formula unit
! * crystal system: orthorhombic
&SYSTEM
  ibrav = 0, nat = 36, ntyp = 4
/
ATOMIC_SPECIES
La 138.91 La.upf
B 10.81 B.upf
O 16.00 O.upf
N 14.01 N.upf
ATOMIC_POSITIONS crystal
La 0.2500 0.6093 0.1149
La 0.7500 0.9170 0.1157
B 0.2500 0.9173 0.2899
O 0.2500 0.2897 0.9459
La 0.2500 0.0830 0.8843
O 0.7500 0.3894 0.5332
B 0.7500 0.0827 0.7101
B 0.7500 0.4173 0.2101
La 0.2500 0.4170 0.3843
O 0.7500 0.0799 0.5955
N 0.2500 0.7016 0.7372
B 0.2500 0.5827 0.7899
O 0.7500 0.7897 0.5541
N 0.7500 0.9674 0.7679
N 0.7500 0.5326 0.2679
O 0.2500 0.5799 0.9045
La 0.7500 0.5830 0.6157
La 0.7500 0.7256 0.3729
La 0.7500 0.1093 0.3851
La 0.7500 0.7744 0.8729
La 0.2500 0.2744 0.6271
O 0.2500 0.6106 0.4668
La 0.2500 0.8907 0.6149
O 0.7500 0.1106 0.0332
O 0.7500 0.7103 0.0541
O 0.7500 0.4201 0.0955
O 0.2500 0.2103 0.4459
N 0.2500 0.0326 0.2321
O 0.2500 0.9201 0.4045
La 0.7500 0.3907 0.8851
N 0.2500 0.4674 0.7321
N 0.7500 0.2984 0.2628
O 0.2500 0.8894 0.9668
La 0.2500 0.2256 0.1271
N 0.2500 0.7984 0.2372
N 0.7500 0.2016 0.7628
CELL_PARAMETERS angstrom
-1.9632 1.5481 -2.6879
-2.8057 -9.9054 -3.6559
-10.1380 0.1143 7.4707

***

[7]
! ReRhSe2 SCAN single point on PBEsol structure; values from VASP
! * total DFT energy (no corrections): -35.42 eV/atom
! * SG: Pmmm, No. 47
! * calculated volume: 63.39 Å³ per cell
! * formation energy without anion corrections: 833 meV/atom
! * total moment: 0.0 μB per formula unit
! * crystal system: orthorhombic
&SYSTEM
  ibrav = 0, nat = 4, ntyp = 3
/
ATOMIC_SPECIES
Rh 102.91 Rh.upf
Se 78.96 Se.upf
Re 186.21 Re.upf
ATOMIC_POSITIONS crystal
Rh 0.0000 0.5000 0.5000
Se 0.0000 0.0000 0.0000
Re 0.5000 0.5000 0.0000
Se 0.5000 0.0000 0.5000
CELL_PARAMETERS angstrom
2.9153 0.0000 0.0000
0.0000 4.1825 0.0000
0.0000 0.0000 5.1988

***

[8]
! Ca2CdCu SCAN single point on PBEsol structure; values from VASP
! * total DFT energy (no corrections): -16.44 eV/atom
! * SG: P4/mmm, No. 123
! * calculated volume: 95.65 Å³ per cell
! * total moment: 0.0 μB per formula unit
! * DFT formation energy: -0.201 eV/atom
! * crystal system: tetragonal
&SYSTEM
  ibrav = 0, nat = 4, ntyp = 3
/
ATOMIC_SPECIES
Ca 40.08 Ca.upf
Cd 112.41 Cd.upf
Cu 63.55 Cu.upf
ATOMIC_POSITIONS crystal
Ca 0.0003 0.0000 0.7261
Cd 0.5000 0.5000 0.0000
Cu 0.5000 0.5000 0.5000
Ca 0.9997 0.0000 0.2739
CELL_PARAMETERS angstrom
3.5273 0.0000 0.0251
0.0000 3.5292 0.0000
-0.0527 0.0000 7.6834

***

[9]
! HgSbHI2 SCAN single point on PBEsol structure; values from VASP
! * total DFT energy (no corrections): -35.67 eV/atom
! * SG: P4/mmm, No. 123
! * calculated volume: 192.37 Å³ per cell
! * total moment: 2.5 μB per formula unit
! * crystal system: tetragonal
&SYSTEM
  ibrav = 0, nat = 5, ntyp = 4
/
ATOMIC_SPECIES
I 126.90 I.upf
Hg 200.59 Hg.upf
Sb 121.76 Sb.upf
H 1.01 H.upf
ATOMIC_POSITIONS crystal
I 0.0000 0.0000 0.5000
Hg 0.0000 0.0000 0.0000
Sb 0.5000 0.0000 0.0000
H 0.5000 0.5000 0.5000
I 0.0000 0.5000 0.0000
CELL_PARAMETERS angstrom
-1.2779 -4.3780 3.0573
5.3850 0.1410 2.4528
-2.0343 3.5694 4.2610

***

[10]
! Zn2InRe SCAN single point on PBEsol structure; values from VASP
! * total DFT energy (no corrections): -32.57 eV/atom
! * SG: Pmm2, No. 25
! * calculated volume: 62.86 Å³ per cell
! * total moment: 0.0 μB per formula unit
! * DFT formation energy: 0.313 eV/atom
! * crystal system: orthorhombic
&SYSTEM
  ibrav = 0, nat = 4, ntyp = 3
/
ATOMIC_SPECIES
Zn 65.41 Zn.upf
In 114.82 In.upf
Re 186.21 Re.upf
ATOMIC_POSITIONS crystal
Zn 0.5000 0.0000 0.9663
Zn 0.0000 0.5000 0.7958
In 0.0000 0.0000 0.4658
Re 0.5000 0.5000 0.2721
CELL_PARAMETERS angstrom
-0.2520 -0.8660 2.5733
0.9075 -4.4178 -1.3978
4.7699 0.7519 0.7201

***

[11]
! YMn4 SCAN single point on PBEsol structure; values from VASP
! * total DFT energy (no corrections): -20.06 eV/atom
! * SG: I4/mmm, No. 139
! * calculated volume: 69.89 Å³ per cell
! * total moment: 0.0 μB per formula unit
! * DFT formation energy: 0.117 eV/atom
! * crystal system: tetragonal
&SYSTEM
  ibrav = 0, nat = 5, ntyp = 2
/
ATOMIC_SPECIES
Mn 54.94 Mn.upf
Y 88.91 Y.upf
ATOMIC_POSITIONS crystal
Mn 0.6289 0.6289 0.2578
Y 0.0000 0.0000 0.0000
Mn 0.2500 0.7500 0.5000
Mn 0.3711 0.3711 0.7422
Mn 0.7500 0.2500 0.5000
CELL_PARAMETERS angstrom
3.8884 0.0000 0.0000
0.0000 3.8884 0.0000
-1.9442 -1.9442 4.6225

***

[12]
! VGaTc2 SCAN single point on PBEsol structure; values from VASP
! * total DFT energy (no corrections): -26.34 eV/atom
! * SG: Fm-3m, No. 225
! * calculated volume: 54.17 Å³ per cell
! * total moment: 0.0 μB per formula unit
! * DFT formation energy: -0.349 eV/atom
! * crystal system: cubic
&SYSTEM
  ibrav = 0, nat = 4, ntyp = 3
/
ATOMIC_SPECIES
V 50.94 V.upf
Tc 98.00 Tc.upf
Ga 69.72 Ga.upf
ATOMIC_POSITIONS crystal
V 0.0000 0.0000 0.0000
Tc 0.2500 0.2500 0.2500
Ga 0.5000 0.5000 0.5000
Tc 0.7500 0.7500 0.7500
CELL_PARAMETERS angstrom
-4.1830 0.6936 0.2415
-2.3666 -0.0426 -3.5262
-2.7239 -3.1843 -0.6909